[1]
A plane-wave DFT calculation with GGA-PBE was carried out for a geometry-optimized PrAlIrN structure.

Lattice parameters (Å, degrees): 3.982 3.982 8.721 90.00 90.00 90.00
Positions (direct):
Pr  0.250  0.250  0.148
Pr  0.750  0.750  0.852
Al  0.250  0.250  0.663
Al  0.750  0.750  0.337
Ir  0.250  0.750  0.500
Ir  0.750  0.250  0.500
N  0.250  0.250  0.877
N  0.750  0.750  0.123

Output
space group = P4/nmm (129)
raw formation energy = -0.9658 eV/atom



[2]
A plane-wave DFT calculation with GGA-PBE was carried out for a geometry-optimized AlIr2RuN structure.

Lattice parameters (Å, degrees): 4.037 4.037 4.001 90.00 90.00 90.00
Positions (direct):
Al  0.000  0.000  0.000
Ir  0.000  0.500  0.500
Ir  0.500  0.000  0.500
Ru  0.500  0.500  0.000
N  0.000  0.000  0.500

Output
space group = P4/mmm (123)
raw formation energy = 0.3350 eV/atom



[3]
A plane-wave DFT calculation with GGA-PBE was carried out for a geometry-optimized AlIrSN2 structure.

Lattice parameters (Å, degrees): 3.677 3.677 4.715 90.00 90.00 90.00
Positions (direct):
Al  0.000  0.000  0.000
Ir  0.500  0.500  0.500
S  0.000  0.000  0.500
N  0.000  0.500  0.000
N  0.500  0.000  0.000

Output
space group = P4/mmm (123)
raw formation energy = 1.1108 eV/atom



[4]
A plane-wave DFT calculation with GGA-PBE was carried out for a geometry-optimized AlIrSN2 structure.

Lattice parameters (Å, degrees): 3.754 3.754 5.437 90.00 90.00 90.00
Positions (direct):
Al  0.000  0.000  0.000
Ir  0.500  0.500  0.500
S  0.500  0.500  0.000
N  0.000  0.500  0.500
N  0.500  0.000  0.500

Output
space group = P4/mmm (123)
raw formation energy = 0.6974 eV/atom



[5]
A plane-wave DFT calculation with GGA-PBE was carried out for a geometry-optimized AlIrSe2N structure.

Lattice parameters (Å, degrees): 5.151 5.151 3.655 90.00 90.00 90.00
Positions (direct):
Al  0.000  0.000  0.000
Ir  0.500  0.500  0.500
Se  0.000  0.500  0.500
Se  0.500  0.000  0.500
N  0.500  0.500  0.000

Output
space group = P4/mmm (123)
raw formation energy = 0.3261 eV/atom



[6]
A plane-wave DFT calculation with GGA-PBE was carried out for a geometry-optimized AlIr2SeN structure.

Lattice parameters (Å, degrees): 4.585 4.585 4.725 90.00 90.00 90.00
Positions (direct):
Al  0.000  0.000  0.000
Ir  0.000  0.500  0.000
Ir  0.500  0.000  0.000
Se  0.000  0.000  0.500
N  0.500  0.500  0.500

Output
space group = P4/mmm (123)
raw formation energy = 2.1907 eV/atom



[7]
A plane-wave DFT calculation with GGA-PBE was carried out for a geometry-optimized AlIrSeN2 structure.

Lattice parameters (Å, degrees): 3.790 3.790 5.643 90.00 90.00 90.00
Positions (direct):
Al  0.000  0.000  0.000
Ir  0.500  0.500  0.500
Se  0.500  0.500  0.000
N  0.000  0.500  0.500
N  0.500  0.000  0.500

Output
space group = P4/mmm (123)
raw formation energy = 0.6999 eV/atom



[8]
A plane-wave DFT calculation with GGA-PBE was carried out for a geometry-optimized AlIrSe2N structure.

Lattice parameters (Å, degrees): 4.974 4.974 3.410 90.00 90.00 90.00
Positions (direct):
Al  0.000  0.000  0.000
Ir  0.500  0.500  0.500
Se  0.000  0.500  0.000
Se  0.500  0.000  0.000
N  0.000  0.000  0.500

Output
space group = P4/mmm (123)
raw formation energy = 0.7472 eV/atom



Number 1: energy -7.393 eV/atom, size of the total moment 0.0 Bohr magnetons per cell. Number 2: energy -7.478 eV/atom, size of the total moment 0.0 Bohr magnetons per cell. Number 3: energy -5.566 eV/atom, size of the total moment 0.9 Bohr magnetons per cell. Number 4: energy -5.979 eV/atom, size of the total moment 0.0 Bohr magnetons per cell. Number 5: energy -5.254 eV/atom, size of the total moment 0.0 Bohr magnetons per cell. Number 6: energy -4.464 eV/atom, size of the total moment 2.5 Bohr magnetons per cell. Number 7: energy -5.848 eV/atom, size of the total moment 0.0 Bohr magnetons per cell. Number 8: energy -4.832 eV/atom, size of the total moment 0.0 Bohr magnetons per cell.